A plane-wave DFT calculation with PBEsol was carried out for a relaxed structure of HfFe2BI.

The structure belongs to space group P4/mmm (No. 123); the cell edges are 4.7164, 4.7164 and 4.4517 Å and the angles 90.00°, 90.00° and 90.00°. Symmetry generates all atoms from Hf at (0.0000, 0.0000, 0.0000), Fe at (0.0000, 0.5000, 0.0000), B at (0.0000, 0.0000, 0.5000) and I at (0.5000, 0.5000, 0.5000).

As for the density of states at the Fermi level: 1.318 states/eV per atom. Its energy is -5.7257 eV/atom.

---

A plane-wave DFT calculation with PBEsol was carried out for a relaxed structure of LaHfFe2B.

The structure belongs to space group P4/mmm (No. 123); the cell edges are 4.0871, 4.0871 and 4.6344 Å and the angles 90.00°, 90.00° and 90.00°. Symmetry generates all atoms from La at (0.0000, 0.0000, 0.0000), Hf at (0.5000, 0.5000, 0.0000), Fe at (0.0000, 0.5000, 0.5000) and B at (0.5000, 0.5000, 0.5000).

As for the density of states at the Fermi level: 1.361 states/eV per atom. The value obtained for the formation energy is 0.243 eV/atom.

---

A plane-wave DFT calculation with PBEsol was carried out for a relaxed structure of Fe3HgB.

The structure belongs to space group Pm-3m (No. 221); the cell edges are 3.8909, 3.8909 and 3.8909 Å and the angles 90.00°, 90.00° and 90.00°. Symmetry generates all atoms from Fe at (0.0000, 0.0000, 0.5000), Hg at (0.5000, 0.5000, 0.5000) and B at (0.0000, 0.0000, 0.0000).

As for the density of states at the Fermi level: 1.048 states/eV per atom. The value obtained for the formation energy is 0.158 eV/atom. Its energy above the most stable polymorph in this dataset is 0.000 eV/atom.

---

A plane-wave DFT calculation with PBEsol was carried out for a relaxed structure of Fe3HgB.

The structure belongs to space group Pm-3m (No. 221); the cell edges are 4.7247, 4.7247 and 4.7247 Å and the angles 90.00°, 90.00° and 90.00°. Symmetry generates all atoms from Fe at (0.0000, 0.0000, 0.5000), Hg at (0.0000, 0.0000, 0.0000) and B at (0.5000, 0.5000, 0.5000).

As for the density of states at the Fermi level: 1.651 states/eV per atom. The value obtained for the formation energy is 2.541 eV/atom. Its energy above the most stable polymorph in this dataset is 2.384 eV/atom.

---

A plane-wave DFT calculation with PBEsol was carried out for a relaxed structure of Ho3FeB7.

The structure belongs to space group Cmcm (No. 63); the cell edges are 3.3617, 15.4918 and 9.1940 Å and the angles 90.00°, 90.00° and 90.00°. Symmetry generates all atoms from Ho at (0.0000, 0.1049, 0.0602), Ho at (0.0000, 0.2430, 0.7500), Fe at (0.0000, 0.0538, 0.7500), B at (0.0000, 0.2724, 0.0326), B at (0.0000, 0.3699, 0.1530), B at (0.0000, 0.4587, 0.7500) and B at (0.0000, 0.4786, 0.0981).

As for the density of states at the Fermi level: 0.341 states/eV per atom. The value obtained for the formation energy is -0.694 eV/atom.

---

A plane-wave DFT calculation with PBEsol was carried out for a relaxed structure of HoFe2B2.

The structure belongs to space group I4/mmm (No. 139); the cell edges are 3.5393, 3.5393 and 9.2096 Å and the angles 90.00°, 90.00° and 90.00°. Symmetry generates all atoms from Ho at (0.0000, 0.0000, 0.0000), Fe at (0.0000, 0.5000, 0.2500) and B at (0.0000, 0.0000, 0.3490).

As for the density of states at the Fermi level: 0.757 states/eV per atom. The value obtained for the formation energy is -0.507 eV/atom.

---

A plane-wave DFT calculation with PBEsol was carried out for a relaxed structure of HoFeB4.

The structure belongs to space group Pbam (No. 55); the cell edges are 5.8402, 11.3028 and 3.3115 Å and the angles 90.00°, 90.00° and 90.00°. Symmetry generates all atoms from Ho at (0.1268, 0.1503, 0.0000), Fe at (0.1324, 0.4118, 0.0000), B at (0.0244, 0.6906, 0.5000), B at (0.1116, 0.5461, 0.5000), B at (0.1387, 0.9680, 0.5000) and B at (0.2179, 0.8162, 0.5000).

As for the density of states at the Fermi level: 0.297 states/eV per atom. The value obtained for the formation energy is -0.704 eV/atom.

---

A plane-wave DFT calculation with PBEsol was carried out for a relaxed structure of Fe2BI.

The structure belongs to space group Fm-3m (No. 225); the cell edges are 5.7335, 5.7335 and 5.7335 Å and the angles 90.00°, 90.00° and 90.00°. Symmetry generates all atoms from Fe at (0.2500, 0.2500, 0.2500), B at (0.0000, 0.0000, 0.0000) and I at (0.0000, 0.0000, 0.5000).

As for the density of states at the Fermi level: 0.626 states/eV per atom. Its energy is -5.6298 eV/atom.

---

A plane-wave DFT calculation with PBEsol was carried out for a relaxed structure of TlFe2BI.

The structure belongs to space group P4/mmm (No. 123); the cell edges are 4.7110, 4.7110 and 4.4912 Å and the angles 90.00°, 90.00° and 90.00°. Symmetry generates all atoms from Tl at (0.0000, 0.0000, 0.0000), Fe at (0.0000, 0.5000, 0.5000), B at (0.5000, 0.5000, 0.0000) and I at (0.5000, 0.5000, 0.5000).

As for the density of states at the Fermi level: 1.263 states/eV per atom. Its energy is -4.0440 eV/atom.

---

A plane-wave DFT calculation with PBEsol was carried out for a relaxed structure of Tl2FeBI.

The structure belongs to space group P4/mmm (No. 123); the cell edges are 6.1140, 6.1140 and 4.4329 Å and the angles 90.00°, 90.00° and 90.00°. Symmetry generates all atoms from Tl at (0.0000, 0.5000, 0.0000), Fe at (0.0000, 0.0000, 0.5000), B at (0.5000, 0.5000, 0.5000) and I at (0.5000, 0.5000, 0.0000).

As for the density of states at the Fermi level: 1.793 states/eV per atom. Its energy is -2.7857 eV/atom.

---

A plane-wave DFT calculation with PBEsol was carried out for a relaxed structure of In3FeB.

The structure belongs to space group Pm-3m (No. 221); the cell edges are 4.6635, 4.6635 and 4.6635 Å and the angles 90.00°, 90.00° and 90.00°. Symmetry generates all atoms from In at (0.0000, 0.0000, 0.5000), Fe at (0.5000, 0.5000, 0.5000) and B at (0.0000, 0.0000, 0.0000).

As for the density of states at the Fermi level: 1.314 states/eV per atom. The value obtained for the formation energy is 0.991 eV/atom.

---

A plane-wave DFT calculation with PBEsol was carried out for a relaxed structure of InFeB2P.

The structure belongs to space group P4/mmm (No. 123); the cell edges are 4.2018, 4.2018 and 5.2969 Å and the angles 90.00°, 90.00° and 90.00°. Symmetry generates all atoms from In at (0.0000, 0.0000, 0.0000), Fe at (0.5000, 0.5000, 0.5000), B at (0.0000, 0.5000, 0.0000) and P at (0.0000, 0.0000, 0.5000).

As for the density of states at the Fermi level: 1.322 states/eV per atom. The value obtained for the formation energy is 2.243 eV/atom.

---

> Which formula does entry 12 have?

InFeB2P

---

Please write out number 2 again, unchanged.
A plane-wave DFT calculation with PBEsol was carried out for a relaxed structure of LaHfFe2B.

The structure belongs to space group P4/mmm (No. 123); the cell edges are 4.0871, 4.0871 and 4.6344 Å and the angles 90.00°, 90.00° and 90.00°. Symmetry generates all atoms from La at (0.0000, 0.0000, 0.0000), Hf at (0.5000, 0.5000, 0.0000), Fe at (0.0000, 0.5000, 0.5000) and B at (0.5000, 0.5000, 0.5000).

As for the density of states at the Fermi level: 1.361 states/eV per atom. The value obtained for the formation energy is 0.243 eV/atom.